This record from Alexandria describes a relaxed DyCdP2Rh5 crystal. The functional is PBE.

Theoretical density in g/cm3: 8.45
Final energy in eV per atom: -6.3965
Spin magnetization in μB/f.u.: 0.00

Structure (extended XYZ):
```
9
Lattice="3.998 0.000 0.000 0.000 3.998 0.000 0.000 0.000 10.463" Properties=species:S:1:pos:R:3 pbc="T T T"
Dy 0.000 0.000 0.000
Cd 0.000 0.000 5.232
P 1.999 1.999 2.253
P 1.999 1.999 8.211
Rh 0.000 1.999 3.295
Rh 0.000 1.999 7.168
Rh 1.999 0.000 3.295
Rh 1.999 0.000 7.168
Rh 1.999 1.999 0.000
```

This record from Alexandria describes a relaxed Mg2GaReCl crystal. The functional is PBE.

Theoretical density in g/cm3: 4.53
E_form (uncorrected) in meV/atom: 630
Final energy in eV per atom: -3.4721
Spin magnetization in μB/f.u.: 0.00

Structure (extended XYZ):
```
5
Lattice="5.326 0.000 0.000 0.000 5.326 0.000 0.000 0.000 4.395" Properties=species:S:1:pos:R:3 pbc="T T T"
Mg 0.000 2.663 0.000
Mg 2.663 0.000 0.000
Ga 0.000 0.000 2.198
Re 2.663 2.663 0.000
Cl 2.663 2.663 2.198
```

This record from Alexandria describes a relaxed BaSb2Cl crystal. The functional is PBE.

Theoretical density in g/cm3: 4.95
E_form (uncorrected) in meV/atom: -1017
Energy above the lowest structure with this stoichiometry in meV per atom: 4.2
Final energy in eV per atom: -4.0202
Spin magnetization in μB/f.u.: 0.00

Structure (extended XYZ):
```
16
Lattice="4.466 0.000 0.000 0.000 4.466 0.000 0.000 0.000 28.018" Properties=species:S:1:pos:R:3 pbc="T T T"
Ba 0.000 0.000 0.000
Ba 0.000 2.233 7.004
Ba 2.233 0.000 21.013
Ba 2.233 2.233 14.009
Sb 0.930 1.117 3.502
Sb 1.117 3.163 10.507
Sb 1.117 3.536 24.516
Sb 1.303 1.117 17.511
Sb 3.163 3.350 17.511
Sb 3.350 0.930 24.516
Sb 3.350 1.303 10.507
Sb 3.536 3.350 3.502
Cl 0.000 0.000 14.009
Cl 0.000 2.233 21.013
Cl 2.233 0.000 7.004
Cl 2.233 2.233 0.000
```

This record from Alexandria describes a relaxed Y3Cd2Au3 crystal. The functional is PBE.

Theoretical density in g/cm3: 9.37
Final energy in eV per atom: -4.5548
Spin magnetization in μB/f.u.: 0.00

Structure (extended XYZ):
```
16
Lattice="8.711 0.000 0.000 -4.356 7.544 0.000 0.000 0.000 5.839" Properties=species:S:1:pos:R:3 pbc="T T T"
Y -1.219 2.112 1.460
Y -3.136 5.433 4.379
Y 2.439 0.000 1.460
Y 1.219 2.112 4.379
Y 6.273 0.000 4.379
Y 3.136 5.433 1.460
Cd 0.000 5.030 0.000
Cd 0.000 5.030 2.919
Cd 4.356 2.515 0.000
Cd 4.356 2.515 2.919
Au -1.636 2.834 4.379
Au -2.719 4.710 1.460
Au 3.273 0.000 4.379
Au 1.636 2.834 1.460
Au 5.439 0.000 1.460
Au 2.719 4.710 4.379
```

This record from Alexandria describes a relaxed BeOs2Ru crystal. The functional is PBE.

Theoretical density in g/cm3: 15.42
Final energy in eV per atom: -8.7583
Spin magnetization in μB/f.u.: 0.00

Structure (extended XYZ):
```
4
Lattice="2.740 0.000 0.000 0.000 3.762 0.000 0.000 0.000 5.123" Properties=species:S:1:pos:R:3 pbc="T T T"
Be 0.000 0.000 0.000
Os 0.000 0.000 2.552
Os 1.370 1.881 1.277
Ru 1.370 1.881 3.970
```

This record from Alexandria describes a relaxed Sr2ZnSe crystal. The functional is PBE.

Theoretical density in g/cm3: 4.49
E_form (uncorrected) in meV/atom: -725
Energy above the lowest structure with this stoichiometry in meV per atom: 229.6
Final energy in eV per atom: -2.7559
Spin magnetization in μB/f.u.: 0.00

Structure (extended XYZ):
```
8
Lattice="5.166 0.000 0.000 0.000 5.166 0.000 0.000 0.000 8.856" Properties=species:S:1:pos:R:3 pbc="T T T"
Sr 0.000 2.583 2.214
Sr 0.000 2.583 6.642
Sr 2.583 0.000 2.214
Sr 2.583 0.000 6.642
Zn 0.000 0.000 0.000
Zn 2.583 2.583 4.428
Se 0.000 0.000 4.428
Se 2.583 2.583 0.000
```

This record from Alexandria describes a relaxed La3CePr2Sb6 crystal. The functional is PBE.

Theoretical density in g/cm3: 6.38
E_form (uncorrected) in meV/atom: -1214
Final energy in eV per atom: -5.7983
Spin magnetization in μB/f.u.: 0.66

Structure (extended XYZ):
```
12
Lattice="3.968 -6.873 0.000 3.968 6.873 0.000 -2.646 0.000 7.492" Properties=species:S:1:pos:R:3 pbc="T T T"
La 0.000 0.000 0.000
La 3.968 2.306 0.000
La 3.968 -2.306 0.000
Ce 2.645 0.000 3.746
Pr 2.645 4.589 3.746
Pr 2.645 -4.589 3.746
Sb 1.339 2.266 1.909
Sb 0.032 0.000 5.588
Sb 1.339 -2.266 1.909
Sb 3.952 2.266 5.583
Sb 5.259 0.000 1.903
Sb 3.952 -2.266 5.583
```

This record from Alexandria describes a relaxed Sm2Ga9Rh3 crystal. The functional is PBE.

Theoretical density in g/cm3: 8.53
Final energy in eV per atom: -4.9178
Spin magnetization in μB/f.u.: 0.00

Structure (extended XYZ):
```
28
Lattice="6.567 -3.820 0.000 6.567 3.820 0.000 0.000 0.000 9.599" Properties=species:S:1:pos:R:3 pbc="T T T"
Sm 4.411 2.551 7.199
Sm 8.724 2.551 7.199
Sm 4.411 -2.551 2.400
Sm 8.724 -2.551 2.400
Ga 4.383 2.531 0.752
Ga 4.383 2.531 4.047
Ga 6.567 2.843 2.400
Ga 6.567 1.268 5.396
Ga 6.567 1.268 9.002
Ga 8.752 2.531 0.752
Ga 8.752 2.531 4.047
Ga 5.201 0.436 2.400
Ga 5.201 -0.436 7.199
Ga 7.933 0.436 2.400
Ga 7.933 -0.436 7.199
Ga 4.383 -2.531 5.552
Ga 4.383 -2.531 8.846
Ga 6.567 -1.268 0.597
Ga 6.567 -1.268 4.202
Ga 6.567 -2.843 7.199
Ga 8.752 -2.531 5.552
Ga 8.752 -2.531 8.846
Rh 0.000 0.000 0.000
Rh 0.000 0.000 4.799
Rh 4.319 0.000 0.000
Rh 4.319 0.000 4.799
Rh 8.816 0.000 0.000
Rh 8.816 0.000 4.799
```

Question: Which formula does entry 7 have?
Answer: La3CePr2Sb6

Question: Number 4 is which compound?
Answer: Y3Cd2Au3

Copy entry 1 word for word.
This record from Alexandria describes a relaxed DyCdP2Rh5 crystal. The functional is PBE.

Theoretical density in g/cm3: 8.45
Final energy in eV per atom: -6.3965
Spin magnetization in μB/f.u.: 0.00

Structure (extended XYZ):
```
9
Lattice="3.998 0.000 0.000 0.000 3.998 0.000 0.000 0.000 10.463" Properties=species:S:1:pos:R:3 pbc="T T T"
Dy 0.000 0.000 0.000
Cd 0.000 0.000 5.232
P 1.999 1.999 2.253
P 1.999 1.999 8.211
Rh 0.000 1.999 3.295
Rh 0.000 1.999 7.168
Rh 1.999 0.000 3.295
Rh 1.999 0.000 7.168
Rh 1.999 1.999 0.000
```

Question: Among the records above, which one has the highest theoretical density?
Answer: BeOs2Ru